# 1
Compound: Sr2GeAsAu6
Source: Alexandria
Functional: PBE-GGA
Structure: relaxed

abc: 7.2942 7.6145 8.7234
angles: 90.00 90.00 90.00
Last column: nearest neighbours and their distance in Å.
Positions (direct):
Sr 0.5000 0.7478 0.2547  1 As 3.29, 1 Ge 3.32, 10 Au 3.43-3.65
Sr 0.0000 0.2522 0.7547  1 As 3.29, 1 Ge 3.32, 10 Au 3.43-3.65
Sr 0.5000 0.7478 0.7453  1 As 3.29, 1 Ge 3.32, 10 Au 3.43-3.65
Sr 0.0000 0.2522 0.2453  1 As 3.29, 1 Ge 3.32, 10 Au 3.43-3.65
Ge 0.5000 0.4152 0.5000  4 Au 2.49-2.55
Ge 0.0000 0.5848 0.0000  4 Au 2.49-2.55
As 0.0000 0.9329 0.5000  4 Au 2.51-2.56
As 0.5000 0.0671 0.0000  4 Au 2.51-2.56
Au 0.5000 0.2530 0.2449  1 Ge 2.55, 1 As 2.56
Au 0.5000 0.2530 0.7551  1 Ge 2.55, 1 As 2.56
Au 0.0000 0.7470 0.2551  1 Ge 2.55, 1 As 2.56
Au 0.0000 0.7470 0.7449  1 Ge 2.55, 1 As 2.56
Au 0.3124 0.0702 0.5000  1 As 2.51, 1 Au 2.74
Au 0.6876 0.0702 0.5000  1 As 2.51, 1 Au 2.74
Au 0.1873 0.5452 0.5000  1 Ge 2.49, 1 Au 2.73
Au 0.8127 0.5452 0.5000  1 Ge 2.49, 1 Au 2.73
Au 0.6873 0.4548 0.0000  1 Ge 2.49, 1 Au 2.73
Au 0.3127 0.4548 0.0000  1 Ge 2.49, 1 Au 2.73
Au 0.1876 0.9298 0.0000  1 As 2.51, 1 Au 2.74
Au 0.8124 0.9298 0.0000  1 As 2.51, 1 Au 2.74

Properties
SG: Pmmn, No. 59
total magnetic moment: 0.00 μB/f.u.
total DFT energy (no corrections): -74.1 eV per cell
formation energy: -0.475 eV per atom

# 2
Compound: Sr2Ge3AsAu4
Source: Alexandria
Functional: PBE-GGA
Structure: relaxed

abc: 4.5874 4.5874 10.6709
angles: 90.00 90.00 90.00
Last column: nearest neighbours and their distance in Å.
Positions (direct):
Sr 0.5000 0.0000 0.2469  6 Ge 3.48-3.54, 8 Au 3.49, 2 As 3.54
Sr 0.0000 0.5000 0.7531  6 Ge 3.48-3.54, 8 Au 3.49, 2 As 3.54
Ge 0.0000 0.0000 0.5000  4 Au 2.70
Ge 0.5000 0.0000 0.8715  5 Au 2.55-2.67
Ge 0.0000 0.5000 0.1285  5 Au 2.55-2.67
As 0.5000 0.5000 0.5000  4 Au 2.70
Au 0.5000 0.5000 0.0000  4 Ge 2.67
Au 0.0000 0.0000 0.0000  4 Ge 2.67
Au 0.5000 0.0000 0.6326  3 Ge 2.55-2.70, 2 As 2.70
Au 0.0000 0.5000 0.3674  3 Ge 2.55-2.70, 2 As 2.70

Properties
SG: P-4m2, No. 115
total magnetic moment: 0.00 μB/f.u.
total DFT energy (no corrections): -40.0 eV per cell
formation energy: -0.502 eV per atom

# 3
Compound: Zn2GeAsAu
Source: Alexandria
Functional: PBE-GGA
Structure: relaxed

abc: 4.7973 5.2597 4.7973
angles: 90.00 90.00 90.00
Last column: nearest neighbours and their distance in Å.
Positions (direct):
Zn 0.0000 0.0000 0.5000  2 Au 2.40
Zn 0.5000 0.0000 0.0000  2 Au 2.40
As 0.0000 0.5000 0.0000  2 Au 2.63
Au 0.0000 0.0000 0.0000  4 Zn 2.40, 2 As 2.63
Ge 0.5000 0.5000 0.5000  4 As 3.39, 8 Zn 3.56

Properties
SG: P4/mmm, No. 123
total magnetic moment: 0.00 μB/f.u.
total DFT energy (no corrections): -12.5 eV per cell
formation energy: 0.514 eV per atom

# 4
Compound: AsH2Au2
Source: Alexandria
Functional: PBE-GGA
Structure: relaxed

abc: 3.1919 3.1919 6.7353
angles: 76.29 76.29 90.00
Last column: nearest neighbours and their distance in Å.
Positions (direct):
H 0.7500 0.2500 0.5000  4 Au 2.06, 4 H 2.26
H 0.2500 0.7500 0.5000  4 Au 2.06, 4 H 2.26
As 0.0000 0.0000 0.0000  8 Au 2.93, 4 As 3.19
Au 0.3530 0.3530 0.2940  4 H 2.06
Au 0.6470 0.6470 0.7060  4 H 2.06

Properties
SG: I4/mmm, No. 139
total magnetic moment: 0.00 μB/f.u.
total DFT energy (no corrections): -15.5 eV per cell

# 5
Compound: As3HAu
Source: Alexandria
Functional: PBE-GGA
Structure: relaxed

abc: 5.1097 5.1097 5.1097
angles: 90.00 90.00 90.00
Last column: nearest neighbours and their distance in Å.
Positions (direct):
H 0.5000 0.5000 0.5000  12 As 3.61
As 0.0000 0.5000 0.0000  2 Au 2.55
As 0.0000 0.0000 0.5000  2 Au 2.55
As 0.5000 0.0000 0.0000  2 Au 2.55
Au 0.0000 0.0000 0.0000  6 As 2.55

Properties
energy above the most stable polymorph in this dataset: 336 kJ/mol of formula units
SG: Pm-3m, No. 221
total magnetic moment: 1.19 μB/f.u.
total DFT energy (no corrections): -14.0 eV per cell

# 6
Compound: As2HAu
Source: Alexandria
Functional: PBE-GGA
Structure: relaxed

abc: 5.2625 5.2625 6.2549
angles: 65.12 65.12 90.00
Last column: nearest neighbours and their distance in Å.
Positions (direct):
H 0.5000 0.5000 0.0000  4 As 1.98
H 0.2500 0.7500 0.5000  4 As 1.98
As 0.5241 0.1250 0.2500  2 H 1.98
As 0.2259 0.6250 0.2500  2 H 1.98
As 0.3750 0.4759 0.7500  2 H 1.98
As 0.8750 0.7741 0.7500  2 H 1.98
Au 0.0000 0.0000 0.0000  4 As 2.59
Au 0.7500 0.2500 0.5000  4 As 2.59

Properties
energy above the most stable polymorph in this dataset: 0 kJ/mol of formula units
SG: I-42d, No. 122
total magnetic moment: 0.00 μB/f.u.
total DFT energy (no corrections): -27.9 eV per cell

# 7
Compound: As2HAu
Source: Alexandria
Functional: PBE-GGA
Structure: relaxed

abc: 4.4563 4.4563 4.4563
angles: 60.00 60.00 60.00
Last column: nearest neighbours and their distance in Å.
Positions (direct):
H 0.0000 0.0000 0.0000  8 As 2.73
As 0.2500 0.2500 0.2500  4 Au 2.73, 4 H 2.73
As 0.7500 0.7500 0.7500  4 H 2.73, 4 Au 2.73
Au 0.5000 0.5000 0.5000  8 As 2.73

Properties
energy above the most stable polymorph in this dataset: 10 kJ/mol of formula units
SG: Fm-3m, No. 225
total magnetic moment: 0.00 μB/f.u.
total DFT energy (no corrections): -13.8 eV per cell

# 8
Compound: As3HAu
Source: Alexandria
Functional: PBE-GGA
Structure: relaxed

abc: 4.3203 4.3203 4.3203
angles: 90.00 90.00 90.00
Last column: nearest neighbours and their distance in Å.
Positions (direct):
H 0.0000 0.0000 0.0000  6 As 2.16
As 0.0000 0.5000 0.0000  2 H 2.16
As 0.0000 0.0000 0.5000  2 H 2.16
As 0.5000 0.0000 0.0000  2 H 2.16
Au 0.5000 0.5000 0.5000  12 As 3.05

Properties
energy above the most stable polymorph in this dataset: 0 kJ/mol of formula units
SG: Pm-3m, No. 221
total magnetic moment: 0.00 μB/f.u.
total DFT energy (no corrections): -17.4 eV per cell